Below is a relaxed structure of La3P5S12, with properties calculated at the PBE level.

Unit cell a=13.317 b=13.317 c=13.317 alpha=109.47 beta=109.47 gamma=109.47
Element x y z (fractional)
1 La 0.125 0.250 0.375
2 La 0.125 0.375 0.750
3 La 0.250 0.375 0.125
4 La 0.250 0.875 0.625
5 La 0.375 0.125 0.250
6 La 0.375 0.750 0.125
7 La 0.625 0.250 0.875
8 La 0.625 0.875 0.750
9 La 0.750 0.125 0.375
10 La 0.750 0.625 0.875
11 La 0.875 0.625 0.250
12 La 0.875 0.750 0.625
13 P 0.000 0.000 0.000
14 P 0.000 0.000 0.500
15 P 0.000 0.500 0.000
16 P 0.000 0.500 0.500
17 P 0.125 0.750 0.875
18 P 0.125 0.875 0.250
19 P 0.250 0.125 0.875
20 P 0.250 0.625 0.375
21 P 0.375 0.250 0.625
22 P 0.375 0.625 0.750
23 P 0.500 0.000 0.000
24 P 0.500 0.000 0.500
25 P 0.500 0.500 0.000
26 P 0.500 0.500 0.500
27 P 0.625 0.375 0.250
28 P 0.625 0.750 0.375
29 P 0.750 0.375 0.625
30 P 0.750 0.875 0.125
31 P 0.875 0.125 0.750
32 P 0.875 0.250 0.125
33 S 0.024 0.201 0.118
34 S 0.024 0.323 0.905
35 S 0.082 0.701 0.677
36 S 0.082 0.882 0.405
37 S 0.095 0.618 0.418
38 S 0.095 0.976 0.677
39 S 0.118 0.024 0.201
40 S 0.118 0.595 0.918
41 S 0.177 0.201 0.582
42 S 0.177 0.476 0.595
43 S 0.201 0.118 0.024
44 S 0.201 0.582 0.177
45 S 0.299 0.323 0.918
46 S 0.299 0.476 0.382
47 S 0.323 0.905 0.024
48 S 0.323 0.918 0.299
49 S 0.382 0.299 0.476
50 S 0.382 0.582 0.905
51 S 0.405 0.082 0.882
52 S 0.405 0.823 0.524
53 S 0.418 0.095 0.618
54 S 0.418 0.823 0.799
55 S 0.476 0.382 0.299
56 S 0.476 0.595 0.177
57 S 0.524 0.405 0.823
58 S 0.524 0.618 0.701
59 S 0.582 0.177 0.201
60 S 0.582 0.905 0.382
61 S 0.595 0.177 0.476
62 S 0.595 0.918 0.118
63 S 0.618 0.418 0.095
64 S 0.618 0.701 0.524
65 S 0.677 0.082 0.701
66 S 0.677 0.095 0.976
67 S 0.701 0.524 0.618
68 S 0.701 0.677 0.082
69 S 0.799 0.418 0.823
70 S 0.799 0.882 0.976
71 S 0.823 0.524 0.405
72 S 0.823 0.799 0.418
73 S 0.882 0.405 0.082
74 S 0.882 0.976 0.799
75 S 0.905 0.024 0.323
76 S 0.905 0.382 0.582
77 S 0.918 0.118 0.595
78 S 0.918 0.299 0.323
79 S 0.976 0.677 0.095
80 S 0.976 0.799 0.882

## Properties
* Fermi-level density of states: 0.22 states/eV/atom
* E_form (uncorrected): -674 meV/atom
* crystal system: cubic
* space-group type: Ia-3d, No. 230